Below is TmTlHgS3 after structural relaxation, with properties calculated at the PBE level.

Its crystal system is orthorhombic. The value obtained for the total magnetization is 0.00 Bohr magnetons per cell. The value obtained for the calculated total energy is -101.8 eV per cell.

The space group is Pnma (No. 62) and the conventional cell measures 10.626, 4.055 and 15.251 Å, with angles of 90.00, 90.00 and 90.00 degrees. The asymmetric unit holds Tm at (0.011, 0.250, 0.250), Tl at (0.239, 0.250, 0.560), Hg at (0.239, 0.250, 0.855), S at (0.015, 0.250, 0.870), S at (0.038, 0.750, 0.371) and S at (0.239, 0.750, 0.707).